Record 1
First-principles (GGA-PBE) data for crystalline BeCuN at its relaxed geometry, as listed in the Alexandria database.

The structure in CIF format:
```
data_BeCuN
_symmetry_space_group_name_H-M 'I m m a'
_symmetry_Int_Tables_number 74
_symmetry_space_group_name_Hall '-I 2b 2'
_cell_length_a 5.963
_cell_length_b 6.774
_cell_length_c 4.653
_cell_angle_alpha 90.00
_cell_angle_beta 90.00
_cell_angle_gamma 90.00
loop_
_atom_site_label
_atom_site_fract_x
_atom_site_fract_y
_atom_site_fract_z
Be1 0.250 0.250 0.250
Cu1 0.000 0.000 0.000
N1 0.000 0.250 0.171
```

- Fermi-level density of states (states/eV per atom) = 0.000
- total energy (eV per atom) = -5.5405

---

Record 2
First-principles (GGA-PBE) data for crystalline Be2CuN at its relaxed geometry, as listed in the Alexandria database.

The structure in CIF format:
```
data_Be2CuN
_symmetry_space_group_name_H-M 'P 1 21 1'
_symmetry_Int_Tables_number 4
_symmetry_space_group_name_Hall 'P 2yb'
_cell_length_a 2.597
_cell_length_b 4.160
_cell_length_c 6.530
_cell_angle_alpha 90.00
_cell_angle_beta 101.41
_cell_angle_gamma 90.00
loop_
_atom_site_label
_atom_site_fract_x
_atom_site_fract_y
_atom_site_fract_z
Be1 0.111 0.000 0.221
Be2 0.217 0.396 0.433
Cu1 0.442 0.027 0.889
N1 0.317 0.663 0.634
```

- Fermi-level density of states (states/eV per atom) = 0.186
- total energy (eV per atom) = -5.3738

---

Record 3
First-principles (GGA-PBE) data for crystalline Be2CuN at its relaxed geometry, as listed in the Alexandria database.

The structure in CIF format:
```
data_Be2CuN
_symmetry_space_group_name_H-M 'P 1 m 1'
_symmetry_Int_Tables_number 6
_symmetry_space_group_name_Hall 'P -2y'
_cell_length_a 4.934
_cell_length_b 2.749
_cell_length_c 5.585
_cell_angle_alpha 90.00
_cell_angle_beta 108.01
_cell_angle_gamma 90.00
loop_
_atom_site_label
_atom_site_fract_x
_atom_site_fract_y
_atom_site_fract_z
Be1 0.000 0.000 0.000
Be2 0.069 0.500 0.587
Be3 0.350 0.000 0.833
Be4 0.633 0.000 0.623
Cu1 0.293 0.500 0.267
Cu2 0.729 0.500 0.155
N1 0.444 0.500 0.672
N2 0.982 0.000 0.703
```

- Fermi-level density of states (states/eV per atom) = 0.051
- total energy (eV per atom) = -5.3705

---

Record 4
First-principles (GGA-PBE) data for crystalline BeCuN at its relaxed geometry, as listed in the Alexandria database.

The structure in CIF format:
```
data_BeCuN
_symmetry_space_group_name_H-M 'C 1 m 1'
_symmetry_Int_Tables_number 8
_symmetry_space_group_name_Hall 'C -2y'
_cell_length_a 8.878
_cell_length_b 3.061
_cell_length_c 5.856
_cell_angle_alpha 90.00
_cell_angle_beta 129.93
_cell_angle_gamma 90.00
loop_
_atom_site_label
_atom_site_fract_x
_atom_site_fract_y
_atom_site_fract_z
Be1 0.000 0.000 0.000
Be2 0.246 0.500 0.429
Cu1 0.242 0.000 0.917
Cu2 0.491 0.000 0.476
N1 0.020 0.500 0.158
N2 0.469 0.500 0.688
```

- Fermi-level density of states (states/eV per atom) = 0.232
- total energy (eV per atom) = -5.5742

---

Record 5
First-principles (GGA-PBE) data for crystalline BeCuN at its relaxed geometry, as listed in the Alexandria database.

The structure in CIF format:
```
data_BeCuN
_symmetry_space_group_name_H-M 'C m m e'
_symmetry_Int_Tables_number 67
_symmetry_space_group_name_Hall '-C 2a 2'
_cell_length_a 4.599
_cell_length_b 4.828
_cell_length_c 4.749
_cell_angle_alpha 90.00
_cell_angle_beta 90.00
_cell_angle_gamma 90.00
loop_
_atom_site_label
_atom_site_fract_x
_atom_site_fract_y
_atom_site_fract_z
Be1 0.250 0.000 0.000
Cu1 0.250 0.250 0.500
N1 0.000 0.250 0.156
```

- Fermi-level density of states (states/eV per atom) = 0.000
- total energy (eV per atom) = -5.6287

---

Record 6
First-principles (GGA-PBE) data for crystalline Be2CuN at its relaxed geometry, as listed in the Alexandria database.

The structure in CIF format:
```
data_Be2CuN
_symmetry_space_group_name_H-M 'P m m n'
_symmetry_Int_Tables_number 59
_cell_length_a 2.624
_cell_length_b 4.327
_cell_length_c 6.047
_cell_angle_alpha 90.00
_cell_angle_beta 90.00
_cell_angle_gamma 90.00
loop_
_symmetry_equiv_pos_as_xyz
'x,y,z'
'-x,-y,-z'
'-x+1/2,-y+1/2,z'
'x+1/2,y+1/2,-z'
'x+1/2,-y,-z'
'-x+1/2,y,z'
'-x,y+1/2,-z'
'x,-y+1/2,z'
loop_
_atom_site_label
_atom_site_fract_x
_atom_site_fract_y
_atom_site_fract_z
Be1 0.250 0.011 0.147
Cu1 0.250 0.250 0.553
N1 0.250 0.750 0.925
```

- Fermi-level density of states (states/eV per atom) = 0.209
- total energy (eV per atom) = -5.4210

---

Record 7
First-principles (GGA-PBE) data for crystalline Be2CuN at its relaxed geometry, as listed in the Alexandria database.

The structure in CIF format:
```
data_Be2CuN
_symmetry_space_group_name_H-M 'I -4 2 d'
_symmetry_Int_Tables_number 122
_symmetry_space_group_name_Hall 'I -4 2bw'
_cell_length_a 4.900
_cell_length_b 4.900
_cell_length_c 7.059
_cell_angle_alpha 90.00
_cell_angle_beta 90.00
_cell_angle_gamma 90.00
loop_
_atom_site_label
_atom_site_fract_x
_atom_site_fract_y
_atom_site_fract_z
Be1 0.113 0.250 0.125
Cu1 0.000 0.000 0.500
N1 0.000 0.000 0.000
```

- Fermi-level density of states (states/eV per atom) = 0.276
- total energy (eV per atom) = -5.1519

---

Record 8
First-principles (GGA-PBE) data for crystalline BeCuN at its relaxed geometry, as listed in the Alexandria database.

The structure in CIF format:
```
data_BeCuN
_symmetry_space_group_name_H-M 'P 1 m 1'
_symmetry_Int_Tables_number 6
_symmetry_space_group_name_Hall 'P -2y'
_cell_length_a 2.727
_cell_length_b 5.336
_cell_length_c 3.893
_cell_angle_alpha 90.00
_cell_angle_beta 90.11
_cell_angle_gamma 90.00
loop_
_atom_site_label
_atom_site_fract_x
_atom_site_fract_y
_atom_site_fract_z
Be1 0.000 0.202 0.000
Cu1 0.002 0.500 0.500
Cu2 0.500 0.000 0.500
N1 0.001 0.500 0.000
N2 0.500 0.000 0.000
```

- Fermi-level density of states (states/eV per atom) = 0.234
- total energy (eV per atom) = -5.5751

---

Question: Fermi-level density of states of number 4 (BeCuN)?
Answer: 0.232 states/eV per atom